PuNpGaRu | GGA-PBE | relaxed Values from VASP.

The structure in Quantum ESPRESSO input format:
```
&SYSTEM
  ibrav = 0, nat = 4, ntyp = 4
/
ATOMIC_SPECIES
Pu 244.00 Pu.upf
Np 237.00 Np.upf
Ga 69.72 Ga.upf
Ru 101.07 Ru.upf
ATOMIC_POSITIONS crystal
Pu 0.000 0.000 0.000
Np 0.750 0.750 0.750
Ga 0.250 0.250 0.250
Ru 0.500 0.500 0.500
CELL_PARAMETERS angstrom
0.000 3.341 3.341
3.341 0.000 3.341
3.341 3.341 0.000
```

Computed properties:
Space-group type = F-43m, No. 216
DFT total energy = -10.059 eV per atom
Fermi-level density of states = 7.4 states/eV/cell
Formation enthalpy at 0 K = -0.16 eV/atom

PuNpTiGa | GGA-PBE | relaxed Values from VASP.

The structure in Quantum ESPRESSO input format:
```
&SYSTEM
  ibrav = 0, nat = 4, ntyp = 4
/
ATOMIC_SPECIES
Pu 244.00 Pu.upf
Np 237.00 Np.upf
Ti 47.87 Ti.upf
Ga 69.72 Ga.upf
ATOMIC_POSITIONS crystal
Pu 0.000 0.000 0.000
Np 0.250 0.250 0.250
Ti 0.500 0.500 0.500
Ga 0.750 0.750 0.750
CELL_PARAMETERS angstrom
0.000 3.396 3.396
3.396 0.000 3.396
3.396 3.396 0.000
```

Computed properties:
Space-group type = F-43m, No. 216
DFT total energy = -9.468 eV per atom
Fermi-level density of states = 10.8 states/eV/cell
Formation enthalpy at 0 K = 0.08 eV/atom

PuNpZnGa | GGA-PBE | relaxed Values from VASP.

The structure in Quantum ESPRESSO input format:
```
&SYSTEM
  ibrav = 0, nat = 4, ntyp = 4
/
ATOMIC_SPECIES
Pu 244.00 Pu.upf
Np 237.00 Np.upf
Zn 65.41 Zn.upf
Ga 69.72 Ga.upf
ATOMIC_POSITIONS crystal
Pu 0.000 0.000 0.000
Np 0.500 0.500 0.500
Zn 0.250 0.250 0.250
Ga 0.750 0.750 0.750
CELL_PARAMETERS angstrom
0.000 3.547 3.547
3.547 0.000 3.547
3.547 3.547 0.000
```

Computed properties:
Space-group type = F-43m, No. 216
DFT total energy = -7.872 eV per atom
Fermi-level density of states = 9.7 states/eV/cell
Formation enthalpy at 0 K = 0.02 eV/atom

Rb4Np3GaS8 | GGA-PBE | relaxed Values from VASP.

The structure in Quantum ESPRESSO input format:
```
&SYSTEM
  ibrav = 0, nat = 16, ntyp = 4
/
ATOMIC_SPECIES
Rb 85.47 Rb.upf
Np 237.00 Np.upf
Ga 69.72 Ga.upf
S 32.06 S.upf
ATOMIC_POSITIONS crystal
Rb 0.000 0.000 0.000
Rb 0.000 0.500 0.500
Rb 0.500 0.000 0.500
Rb 0.500 0.500 0.000
Np 0.000 0.000 0.500
Np 0.000 0.500 0.000
Np 0.500 0.000 0.000
Ga 0.500 0.500 0.500
S 0.208 0.739 0.739
S 0.230 0.230 0.230
S 0.261 0.261 0.792
S 0.261 0.792 0.261
S 0.739 0.208 0.739
S 0.739 0.739 0.208
S 0.770 0.770 0.770
S 0.792 0.261 0.261
CELL_PARAMETERS angstrom
4.170 2.408 7.544
-4.170 2.408 7.544
0.000 -4.815 7.544
```

Computed properties:
Formation energy without anion corrections = -1.2219 eV per atom
Space-group type = R-3m, No. 166
DFT total energy = -6.143 eV per atom
Fermi-level density of states = 30.6 states/eV/cell

Rb2NpGaS5 | GGA-PBE | relaxed Values from VASP.

The structure in Quantum ESPRESSO input format:
```
&SYSTEM
  ibrav = 0, nat = 18, ntyp = 4
/
ATOMIC_SPECIES
Rb 85.47 Rb.upf
Np 237.00 Np.upf
Ga 69.72 Ga.upf
S 32.06 S.upf
ATOMIC_POSITIONS crystal
Rb 0.113 0.887 0.500
Rb 0.127 0.873 0.142
Rb 0.873 0.127 0.642
Rb 0.887 0.113 0.000
Np 0.202 0.798 0.844
Np 0.798 0.202 0.344
Ga 0.432 0.568 0.243
Ga 0.568 0.432 0.743
S 0.060 0.940 0.841
S 0.298 0.702 0.461
S 0.309 0.691 0.216
S 0.329 0.671 0.827
S 0.493 0.507 0.116
S 0.507 0.493 0.616
S 0.671 0.329 0.327
S 0.691 0.309 0.716
S 0.702 0.298 0.961
S 0.940 0.060 0.341
CELL_PARAMETERS angstrom
2.005 -9.537 0.000
2.005 9.537 0.000
0.000 0.000 14.323
```

Computed properties:
Formation energy without anion corrections = -1.0667 eV per atom
Space-group type = Cmc2_1, No. 36
DFT total energy = -5.349 eV per atom
Fermi-level density of states = 9.8 states/eV/cell

Rb3Np3GaS8 | GGA-PBE | relaxed Values from VASP.

The structure in Quantum ESPRESSO input format:
```
&SYSTEM
  ibrav = 0, nat = 15, ntyp = 4
/
ATOMIC_SPECIES
Rb 85.47 Rb.upf
Np 237.00 Np.upf
Ga 69.72 Ga.upf
S 32.06 S.upf
ATOMIC_POSITIONS crystal
Rb 0.000 0.500 0.500
Rb 0.500 0.000 0.500
Rb 0.500 0.500 0.000
Np 0.000 0.000 0.500
Np 0.000 0.500 0.000
Np 0.500 0.000 0.000
Ga 0.500 0.500 0.500
S 0.230 0.230 0.230
S 0.232 0.723 0.723
S 0.277 0.277 0.768
S 0.277 0.768 0.277
S 0.723 0.232 0.723
S 0.723 0.723 0.232
S 0.768 0.277 0.277
S 0.770 0.770 0.770
CELL_PARAMETERS angstrom
4.028 2.325 7.732
-4.028 2.325 7.732
0.000 -4.651 7.732
```

Computed properties:
Formation energy without anion corrections = -1.2065 eV per atom
Space-group type = R-3m, No. 166
DFT total energy = -6.391 eV per atom
Fermi-level density of states = 29.4 states/eV/cell

Rb2Np2GaS6 | GGA-PBE | relaxed Values from VASP.

The structure in Quantum ESPRESSO input format:
```
&SYSTEM
  ibrav = 0, nat = 11, ntyp = 4
/
ATOMIC_SPECIES
Rb 85.47 Rb.upf
Np 237.00 Np.upf
Ga 69.72 Ga.upf
S 32.06 S.upf
ATOMIC_POSITIONS crystal
Rb 0.165 0.835 0.000
Rb 0.835 0.165 0.000
Np 0.333 0.667 0.500
Np 0.667 0.333 0.500
Ga 0.000 0.000 0.500
S 0.059 0.386 0.681
S 0.256 0.256 0.326
S 0.386 0.059 0.681
S 0.614 0.941 0.319
S 0.744 0.744 0.674
S 0.941 0.614 0.319
CELL_PARAMETERS angstrom
3.433 -5.950 0.000
3.433 5.950 0.000
-2.256 0.000 7.810
```

Computed properties:
Formation energy without anion corrections = -1.1432 eV per atom
Space-group type = C2/m, No. 12
DFT total energy = -6.198 eV per atom
Fermi-level density of states = 13.8 states/eV/cell

Rb4Np3GaSe8 | GGA-PBE | relaxed Values from VASP.

The structure in Quantum ESPRESSO input format:
```
&SYSTEM
  ibrav = 0, nat = 16, ntyp = 4
/
ATOMIC_SPECIES
Rb 85.47 Rb.upf
Np 237.00 Np.upf
Ga 69.72 Ga.upf
Se 78.96 Se.upf
ATOMIC_POSITIONS crystal
Rb 0.000 0.000 0.000
Rb 0.000 0.500 0.500
Rb 0.500 0.000 0.500
Rb 0.500 0.500 0.000
Np 0.000 0.000 0.500
Np 0.000 0.500 0.000
Np 0.500 0.000 0.000
Ga 0.500 0.500 0.500
Se 0.214 0.737 0.737
Se 0.232 0.232 0.232
Se 0.263 0.263 0.786
Se 0.263 0.786 0.263
Se 0.737 0.214 0.737
Se 0.737 0.737 0.214
Se 0.768 0.768 0.768
Se 0.786 0.263 0.263
CELL_PARAMETERS angstrom
4.341 2.506 7.850
-4.341 2.506 7.850
0.000 -5.012 7.850
```

Computed properties:
Formation energy without anion corrections = -1.1209 eV per atom
Space-group type = R-3m, No. 166
DFT total energy = -5.721 eV per atom
Fermi-level density of states = 29.7 states/eV/cell

Rb3Np3GaTe8 | GGA-PBE | relaxed Values from VASP.

The structure in Quantum ESPRESSO input format:
```
&SYSTEM
  ibrav = 0, nat = 15, ntyp = 4
/
ATOMIC_SPECIES
Rb 85.47 Rb.upf
Np 237.00 Np.upf
Ga 69.72 Ga.upf
Te 127.60 Te.upf
ATOMIC_POSITIONS crystal
Rb 0.000 0.500 0.500
Rb 0.500 0.000 0.500
Rb 0.500 0.500 0.000
Np 0.000 0.000 0.500
Np 0.000 0.500 0.000
Np 0.500 0.000 0.000
Ga 0.500 0.500 0.500
Te 0.231 0.729 0.729
Te 0.233 0.233 0.233
Te 0.271 0.271 0.769
Te 0.271 0.769 0.271
Te 0.729 0.231 0.729
Te 0.729 0.729 0.231
Te 0.767 0.767 0.767
Te 0.769 0.271 0.271
CELL_PARAMETERS angstrom
4.497 2.597 8.611
-4.497 2.597 8.611
0.000 -5.193 8.611
```

Computed properties:
Formation energy without anion corrections = -0.7259 eV per atom
Space-group type = R-3m, No. 166
DFT total energy = -5.385 eV per atom
Fermi-level density of states = 28.3 states/eV/cell

NpGa2Re | GGA-PBE | relaxed Values from VASP.

The structure in Quantum ESPRESSO input format:
```
&SYSTEM
  ibrav = 0, nat = 4, ntyp = 3
/
ATOMIC_SPECIES
Np 237.00 Np.upf
Ga 69.72 Ga.upf
Re 186.21 Re.upf
ATOMIC_POSITIONS crystal
Np 0.000 0.000 0.000
Ga 0.250 0.250 0.250
Ga 0.750 0.750 0.750
Re 0.500 0.500 0.500
CELL_PARAMETERS angstrom
0.000 3.266 3.266
3.266 0.000 3.266
3.266 3.266 0.000
```

Computed properties:
Space-group type = Fm-3m, No. 225
DFT total energy = -7.738 eV per atom
Fermi-level density of states = 6.6 states/eV/cell
Formation enthalpy at 0 K = 0.12 eV/atom

Np2Ga5Rh3 | GGA-PBE | relaxed Values from VASP.

The structure in Quantum ESPRESSO input format:
```
&SYSTEM
  ibrav = 0, nat = 20, ntyp = 3
/
ATOMIC_SPECIES
Np 237.00 Np.upf
Ga 69.72 Ga.upf
Rh 102.91 Rh.upf
ATOMIC_POSITIONS crystal
Np 0.020 0.980 0.500
Np 0.327 0.673 0.561
Np 0.673 0.327 0.061
Np 0.980 0.020 0.000
Ga 0.103 0.897 0.858
Ga 0.206 0.794 0.377
Ga 0.209 0.791 0.775
Ga 0.373 0.627 0.017
Ga 0.447 0.553 0.672
Ga 0.553 0.447 0.172
Ga 0.627 0.373 0.517
Ga 0.791 0.209 0.275
Ga 0.794 0.206 0.877
Ga 0.897 0.103 0.358
Rh 0.106 0.894 0.257
Rh 0.272 0.728 0.080
Rh 0.451 0.549 0.277
Rh 0.549 0.451 0.777
Rh 0.728 0.272 0.580
Rh 0.894 0.106 0.757
CELL_PARAMETERS angstrom
2.162 -12.384 0.000
2.162 12.384 0.000
0.000 0.000 6.623
```

Computed properties:
Space-group type = Cmc2_1, No. 36
DFT total energy = -6.768 eV per atom
Fermi-level density of states = 37.7 states/eV/cell
Formation enthalpy at 0 K = -0.46 eV/atom

NpGaRh4 | GGA-PBE | relaxed Values from VASP.

The structure in Quantum ESPRESSO input format:
```
&SYSTEM
  ibrav = 0, nat = 6, ntyp = 3
/
ATOMIC_SPECIES
Np 237.00 Np.upf
Ga 69.72 Ga.upf
Rh 102.91 Rh.upf
ATOMIC_POSITIONS crystal
Np 0.000 0.000 0.000
Ga 0.250 0.250 0.250
Rh 0.128 0.624 0.624
Rh 0.624 0.128 0.624
Rh 0.624 0.624 0.128
Rh 0.624 0.624 0.624
CELL_PARAMETERS angstrom
0.000 3.689 3.689
3.689 0.000 3.689
3.689 3.689 0.000
```

Computed properties:
Space-group type = F-43m, No. 216
DFT total energy = -7.849 eV per atom
Fermi-level density of states = 6.9 states/eV/cell
Offset from the most stable computed form = 0 meV per atom
Formation enthalpy at 0 K = -0.29 eV/atom